First-principles (GGA-PBE) data for crystalline KGa4Au4 at its relaxed geometry, as listed in the Alexandria database.

Properties
* D(E_F): 0.568 states/eV per atom
* magnetization: 0.000 μB/cell
* DFT formation energy: -285.0 meV/atom
* calculated total energy: -57.8 eV for the cell shown

a = 6.714 Å, b = 6.714 Å, c = 8.690 Å
α = 90.00°, β = 90.00°, γ = 90.00°
Element x y z (fractional)
K: 0.250 0.750 0.250
K: 0.750 0.250 0.750
Ga: 0.005 0.250 0.127
Ga: 0.250 0.005 0.627
Ga: 0.250 0.495 0.627
Ga: 0.495 0.250 0.127
Ga: 0.505 0.750 0.873
Ga: 0.750 0.505 0.373
Ga: 0.750 0.995 0.373
Ga: 0.995 0.750 0.873
Au: 0.041 0.250 0.430
Au: 0.250 0.041 0.930
Au: 0.250 0.459 0.930
Au: 0.459 0.250 0.430
Au: 0.541 0.750 0.570
Au: 0.750 0.541 0.070
Au: 0.750 0.959 0.070
Au: 0.959 0.750 0.570


First-principles (GGA-PBE) data for crystalline CaZnPd at its relaxed geometry, as listed in the Alexandria database.

Properties
* D(E_F): 0.264 states/eV per atom
* magnetization: 0.000 μB/cell
* DFT formation energy: -437.2 meV/atom
* calculated total energy: -9.8 eV for the cell shown

a = 4.611 Å, b = 4.611 Å, c = 4.611 Å
α = 60.00°, β = 60.00°, γ = 60.00°
Element x y z (fractional)
Ca: 0.000 0.000 0.000
Zn: 0.500 0.500 0.500
Pd: 0.250 0.250 0.250